No. 1
HoEr2Rh: optimized geometry, PBE.

It has space group P4/mmm (No. 123), with a = 3.4730 Å, b = 3.4730 Å, c = 8.4836 Å, α = 90.00°, β = 90.00° and γ = 90.00°. Symmetry generates all atoms from Ho at (0.0000, 0.0000, 0.0000), Er at (0.5000, 0.5000, 0.3100) and Rh at (0.0000, 0.0000, 0.5000).

The crystal system is tetragonal. As for the formation energy: -0.43 eV per atom.

=====

No. 2
Ho3Er4Rh4: optimized geometry, PBE.

It has space group Immm (No. 71), with a = 3.7112 Å, b = 8.7977 Å, c = 15.7447 Å, α = 90.00°, β = 90.00° and γ = 90.00°. Symmetry generates all atoms from Ho at (0.0000, 0.0000, 0.0000), Ho at (0.0000, 0.5000, 0.1031), Er at (0.0000, 0.3124, 0.3347), Rh at (0.0000, 0.0000, 0.2498) and Rh at (0.0000, 0.2107, 0.5000).

The crystal system is orthorhombic. As for the formation energy: -0.67 eV per atom.

=====

What did the first record say?
HoEr2Rh: optimized geometry, PBE.

It has space group P4/mmm (No. 123), with a = 3.4730 Å, b = 3.4730 Å, c = 8.4836 Å, α = 90.00°, β = 90.00° and γ = 90.00°. Symmetry generates all atoms from Ho at (0.0000, 0.0000, 0.0000), Er at (0.5000, 0.5000, 0.3100) and Rh at (0.0000, 0.0000, 0.5000).

The crystal system is tetragonal. As for the formation energy: -0.43 eV per atom.